(1)
Compound: AlZn4Pd7
Source: Alexandria via LeMat-Bulk
Functional: PBE
Structure: relaxed

Structure (CIF):
```
data_AlZn4Pd7
_chemical_formula_sum 'Al2 Zn8 Pd14'
_symmetry_space_group_name_H-M 'C 1 2/m 1'
_symmetry_Int_Tables_number 12
_cell_length_a 11.8233
_cell_length_b 4.5540
_cell_length_c 8.9134
_cell_angle_alpha 90.00
_cell_angle_beta 125.61
_cell_angle_gamma 90.00
loop_
_symmetry_equiv_pos_as_xyz
'x,y,z'
'-x,-y,-z'
'-x,y,-z'
'x,-y,z'
'x+1/2,y+1/2,z'
'-x+1/2,-y+1/2,-z'
'-x+1/2,y+1/2,-z'
'x+1/2,-y+1/2,z'
loop_
_atom_site_label
_atom_site_type_symbol
_atom_site_fract_x
_atom_site_fract_y
_atom_site_fract_z
Al1 Al 0.0000 0.0000 0.0000
Zn1 Zn 0.0722 0.5000 0.7785
Zn2 Zn 0.2157 0.5000 0.3404
Pd1 Pd 0.0000 0.5000 0.0000
Pd2 Pd 0.0725 0.0000 0.3169
Pd3 Pd 0.1460 0.5000 0.5690
Pd4 Pd 0.2138 0.0000 0.8789
```

Properties
formation energy from the elements: -7.60 kcal/mol of atoms

=====

(2)
Compound: AlZn2Pd8
Source: Alexandria via LeMat-Bulk
Functional: PBE
Structure: relaxed

Structure (CIF):
```
data_AlZn2Pd8
_chemical_formula_sum 'Al2 Zn4 Pd16'
_symmetry_space_group_name_H-M 'I m m m'
_symmetry_Int_Tables_number 71
_symmetry_space_group_name_Hall '-I 2 2'
_cell_length_a 4.1376
_cell_length_b 6.9836
_cell_length_c 11.6486
_cell_angle_alpha 90.00
_cell_angle_beta 90.00
_cell_angle_gamma 90.00
loop_
_atom_site_label
_atom_site_type_symbol
_atom_site_fract_x
_atom_site_fract_y
_atom_site_fract_z
Al1 Al 0.0000 0.0000 0.0000
Zn1 Zn 0.0000 0.0000 0.3043
Pd1 Pd 0.0000 0.1914 0.5000
Pd2 Pd 0.0000 0.2777 0.1566
Pd3 Pd 0.0000 0.5000 0.3581
```

Properties
polymorph energy (0 for the lowest one): 43 meV/atom
formation energy from the elements: -9.46 kcal/mol of atoms

=====

(3)
Compound: Al2Zn2Pd
Source: Alexandria via LeMat-Bulk
Functional: PBE
Structure: relaxed

Structure (CIF):
```
data_Al2Zn2Pd
_chemical_formula_sum 'Al4 Zn4 Pd2'
_symmetry_space_group_name_H-M 'I 4/m m m'
_symmetry_Int_Tables_number 139
_symmetry_space_group_name_Hall '-I 4 2'
_cell_length_a 3.4354
_cell_length_b 3.4354
_cell_length_c 13.8100
_cell_angle_alpha 90.00
_cell_angle_beta 90.00
_cell_angle_gamma 90.00
loop_
_atom_site_label
_atom_site_type_symbol
_atom_site_fract_x
_atom_site_fract_y
_atom_site_fract_z
Al1 Al 0.0000 0.0000 0.0961
Zn1 Zn 0.0000 0.5000 0.2500
Pd1 Pd 0.0000 0.0000 0.5000
```

Properties
polymorph energy (0 for the lowest one): 25 meV/atom
formation energy from the elements: -1.79 kcal/mol of atoms

=====

(4)
Compound: Al2Zn3Pd4
Source: Alexandria via LeMat-Bulk
Functional: PBE
Structure: relaxed

Structure (CIF):
```
data_Al2Zn3Pd4
_chemical_formula_sum 'Al2 Zn3 Pd4'
_symmetry_space_group_name_H-M 'P -1'
_symmetry_Int_Tables_number 2
_cell_length_a 4.0214
_cell_length_b 4.4709
_cell_length_c 8.2471
_cell_angle_alpha 81.88
_cell_angle_beta 89.99
_cell_angle_gamma 63.42
loop_
_symmetry_equiv_pos_as_xyz
'x,y,z'
'-x,-y,-z'
loop_
_atom_site_label
_atom_site_type_symbol
_atom_site_fract_x
_atom_site_fract_y
_atom_site_fract_z
Al1 Al 0.1725 0.1551 0.2133
Zn1 Zn 0.1575 0.1843 0.5521
Zn2 Zn 0.5000 0.5000 0.0000
Pd1 Pd 0.1703 0.1593 0.8847
Pd2 Pd 0.4811 0.5372 0.6751
```

Properties
formation energy from the elements: -14.58 kcal/mol of atoms

=====

(5)
Compound: AlZn8Pd2
Source: Alexandria via LeMat-Bulk
Functional: PBE
Structure: relaxed

Structure (CIF):
```
data_AlZn8Pd2
_chemical_formula_sum 'Al2 Zn16 Pd4'
_symmetry_space_group_name_H-M 'C 1 2/m 1'
_symmetry_Int_Tables_number 12
_cell_length_a 11.8937
_cell_length_b 6.0643
_cell_length_c 5.1091
_cell_angle_alpha 90.00
_cell_angle_beta 104.12
_cell_angle_gamma 90.00
loop_
_symmetry_equiv_pos_as_xyz
'x,y,z'
'-x,-y,-z'
'-x,y,-z'
'x,-y,z'
'x+1/2,y+1/2,z'
'-x+1/2,-y+1/2,-z'
'-x+1/2,y+1/2,-z'
'x+1/2,-y+1/2,z'
loop_
_atom_site_label
_atom_site_type_symbol
_atom_site_fract_x
_atom_site_fract_y
_atom_site_fract_z
Al1 Al 0.0000 0.0000 0.0000
Zn1 Zn 0.0884 0.5000 0.8988
Zn2 Zn 0.0956 0.2883 0.4163
Zn3 Zn 0.2086 0.0000 0.7689
Pd1 Pd 0.2203 0.0000 0.2643
```

Properties
formation energy from the elements: -3.24 kcal/mol of atoms

=====

(6)
Compound: Al2ZnPd5
Source: Alexandria via LeMat-Bulk
Functional: PBE
Structure: relaxed

Structure (CIF):
```
data_Al2ZnPd5
_chemical_formula_sum 'Al4 Zn2 Pd10'
_symmetry_space_group_name_H-M 'P b a m'
_symmetry_Int_Tables_number 55
_cell_length_a 5.4286
_cell_length_b 10.6161
_cell_length_c 4.0633
_cell_angle_alpha 90.00
_cell_angle_beta 90.00
_cell_angle_gamma 90.00
loop_
_symmetry_equiv_pos_as_xyz
'x,y,z'
'-x,-y,-z'
'-x,-y,z'
'x,y,-z'
'x+1/2,-y+1/2,-z'
'-x+1/2,y+1/2,z'
'-x+1/2,y+1/2,-z'
'x+1/2,-y+1/2,z'
loop_
_atom_site_label
_atom_site_type_symbol
_atom_site_fract_x
_atom_site_fract_y
_atom_site_fract_z
Al1 Al 0.1726 0.1401 0.0000
Zn1 Zn 0.0000 0.5000 0.5000
Pd1 Pd 0.0000 0.0000 0.5000
Pd2 Pd 0.0884 0.7370 0.5000
Pd3 Pd 0.1957 0.3897 0.0000
```

Properties
formation energy from the elements: -16.84 kcal/mol of atoms

=====

(7)
Compound: Al2ZnPd3
Source: Alexandria via LeMat-Bulk
Functional: PBE
Structure: relaxed

Structure (CIF):
```
data_Al2ZnPd3
_chemical_formula_sum 'Al2 Zn1 Pd3'
_symmetry_space_group_name_H-M 'P 4/m m m'
_symmetry_Int_Tables_number 123
_symmetry_space_group_name_Hall '-P 4 2'
_cell_length_a 3.0845
_cell_length_b 3.0845
_cell_length_c 9.1530
_cell_angle_alpha 90.00
_cell_angle_beta 90.00
_cell_angle_gamma 90.00
loop_
_atom_site_label
_atom_site_type_symbol
_atom_site_fract_x
_atom_site_fract_y
_atom_site_fract_z
Al1 Al 0.0000 0.0000 0.1677
Zn1 Zn 0.0000 0.0000 0.5000
Pd1 Pd 0.5000 0.5000 0.0000
Pd2 Pd 0.5000 0.5000 0.3261
```

Properties
formation energy from the elements: -17.93 kcal/mol of atoms

=====

(8)
Compound: AlZnPd4
Source: Alexandria via LeMat-Bulk
Functional: PBE
Structure: relaxed

Structure (CIF):
```
data_AlZnPd4
_chemical_formula_sum 'Al4 Zn4 Pd16'
_symmetry_space_group_name_H-M 'P n m a'
_symmetry_Int_Tables_number 62
_cell_length_a 7.1906
_cell_length_b 2.8736
_cell_length_c 17.2112
_cell_angle_alpha 90.00
_cell_angle_beta 90.00
_cell_angle_gamma 90.00
loop_
_symmetry_equiv_pos_as_xyz
'x,y,z'
'-x,-y,-z'
'-x+1/2,-y,z+1/2'
'x+1/2,y,-z+1/2'
'x+1/2,-y+1/2,-z+1/2'
'-x+1/2,y+1/2,z+1/2'
'-x,y+1/2,-z'
'x,-y+1/2,z'
loop_
_atom_site_label
_atom_site_type_symbol
_atom_site_fract_x
_atom_site_fract_y
_atom_site_fract_z
Al1 Al 0.2495 0.2500 0.0489
Zn1 Zn 0.2150 0.2500 0.8125
Pd1 Pd 0.0240 0.7500 0.7106
Pd2 Pd 0.0368 0.7500 0.4286
Pd3 Pd 0.1067 0.7500 0.9382
Pd4 Pd 0.1528 0.7500 0.1632
```

Properties
polymorph energy (0 for the lowest one): 0 meV/atom
formation energy from the elements: -13.73 kcal/mol of atoms

=====

(9)
Compound: Al5Zn2Pd12
Source: Alexandria via LeMat-Bulk
Functional: PBE
Structure: relaxed

Structure (CIF):
```
data_Al5Zn2Pd12
_chemical_formula_sum 'Al10 Zn4 Pd24'
_symmetry_space_group_name_H-M 'C 1 2/m 1'
_symmetry_Int_Tables_number 12
_cell_length_a 13.4484
_cell_length_b 5.6820
_cell_length_c 8.2113
_cell_angle_alpha 90.00
_cell_angle_beta 97.53
_cell_angle_gamma 90.00
loop_
_symmetry_equiv_pos_as_xyz
'x,y,z'
'-x,-y,-z'
'-x,y,-z'
'x,-y,z'
'x+1/2,y+1/2,z'
'-x+1/2,-y+1/2,-z'
'-x+1/2,y+1/2,-z'
'x+1/2,-y+1/2,z'
loop_
_atom_site_label
_atom_site_type_symbol
_atom_site_fract_x
_atom_site_fract_y
_atom_site_fract_z
Al1 Al 0.0000 0.0000 0.0000
Al2 Al 0.1548 0.5000 0.3559
Al3 Al 0.2142 0.5000 0.8618
Zn1 Zn 0.0000 0.2531 0.5000
Pd1 Pd 0.0210 0.5000 0.7931
Pd2 Pd 0.1128 0.0000 0.3353
Pd3 Pd 0.1433 0.2639 0.0688
Pd4 Pd 0.1856 0.2482 0.6239
```

Properties
formation energy from the elements: -11.74 kcal/mol of atoms

=====

(10)
Compound: Al2ZnPd
Source: Alexandria via LeMat-Bulk
Functional: PBE
Structure: relaxed

Structure (CIF):
```
data_Al2ZnPd
_chemical_formula_sum 'Al2 Zn1 Pd1'
_symmetry_space_group_name_H-M 'P 4/m m m'
_symmetry_Int_Tables_number 123
_symmetry_space_group_name_Hall '-P 4 2'
_cell_length_a 4.0039
_cell_length_b 4.0039
_cell_length_c 3.7348
_cell_angle_alpha 90.00
_cell_angle_beta 90.00
_cell_angle_gamma 90.00
loop_
_atom_site_label
_atom_site_type_symbol
_atom_site_fract_x
_atom_site_fract_y
_atom_site_fract_z
Al1 Al 0.0000 0.5000 0.0000
Zn1 Zn 0.0000 0.0000 0.5000
Pd1 Pd 0.5000 0.5000 0.5000
```

Properties
formation energy from the elements: -8.30 kcal/mol of atoms

=====

(11)
Compound: Al2ZnPd2
Source: Alexandria via LeMat-Bulk
Functional: PBE
Structure: relaxed

Structure (CIF):
```
data_Al2ZnPd2
_chemical_formula_sum 'Al2 Zn1 Pd2'
_symmetry_space_group_name_H-M 'P -3 m 1'
_symmetry_Int_Tables_number 164
_symmetry_space_group_name_Hall '-P 3 2"'
_cell_length_a 4.2612
_cell_length_b 4.2612
_cell_length_c 5.1841
_cell_angle_alpha 90.00
_cell_angle_beta 90.00
_cell_angle_gamma 120.00
loop_
_atom_site_label
_atom_site_type_symbol
_atom_site_fract_x
_atom_site_fract_y
_atom_site_fract_z
Al1 Al 0.3333 0.6667 0.1521
Zn1 Zn 0.0000 0.0000 0.5000
Pd1 Pd 0.3333 0.6667 0.6653
```

Properties
polymorph energy (0 for the lowest one): 10 meV/atom
formation energy from the elements: -14.77 kcal/mol of atoms